(1)
## LiEuTlSn (PBE)

Data for an optimized crystal structure of LiEuTlSn.

Summary:
DFT formation energy, meV per atom: -441

Cell lengths 5.3147, 5.3147, 5.3147 Å; angles 60.00, 60.00, 60.00 degrees
Each line ends with the local moment (μB).
Sites, in units of the cell vectors:
Eu (0.0000, 0.0000, 0.0000)  -6.83
Tl (0.7500, 0.7500, 0.7500)  -0.03
Sn (0.2500, 0.2500, 0.2500)  0.04
Li (0.5000, 0.5000, 0.5000)  0.00

(2)
## LiEuTmSn (PBE)

Data for an optimized crystal structure of LiEuTmSn.

Summary:
DFT formation energy, meV per atom: -383

Cell lengths 5.3251, 5.3251, 5.3251 Å; angles 60.00, 60.00, 60.00 degrees
Each line ends with the local moment (μB).
Sites, in units of the cell vectors:
Eu (0.0000, 0.0000, 0.0000)  -6.88
Tm (0.5000, 0.5000, 0.5000)  -0.15
Sn (0.2500, 0.2500, 0.2500)  0.04
Li (0.7500, 0.7500, 0.7500)  -0.02